# 1
Here is a relaxed Ca4Pm9Cd11 crystal from the Alexandria database. Energies are from GGA-PBE.

Cell: 3.528 14.288 14.288 Å, 107.40 90.00 90.00°
Positions (direct):
Cd 0.000 0.211 0.211
Cd 0.000 0.588 0.954
Cd 0.000 0.373 0.627
Cd 0.000 0.954 0.588
Cd 0.000 0.412 0.046
Cd 0.000 0.627 0.373
Cd 0.000 0.046 0.412
Cd 0.000 0.182 0.818
Cd 0.000 0.789 0.789
Cd 0.000 0.000 0.000
Cd 0.000 0.818 0.182
Pm 0.500 0.158 0.618
Pm 0.500 0.842 0.382
Pm 0.500 0.795 0.983
Pm 0.500 0.983 0.795
Pm 0.500 0.017 0.205
Pm 0.500 0.618 0.158
Pm 0.500 0.382 0.842
Pm 0.500 0.500 0.500
Pm 0.500 0.205 0.017
Ca 0.500 0.412 0.245
Ca 0.500 0.245 0.412
Ca 0.500 0.755 0.588
Ca 0.500 0.588 0.755

Results
- Volume: 28.634 Å³/atom
- M_tot: 0.00 μB per cell
- Space group: Cmmm, No. 65
- E_form: -0.254 eV/atom

# 2
Here is a relaxed Ca2PmCd8 crystal from the Alexandria database. Energies are from GGA-PBE.

Cell: 5.446 6.384 9.083 Å, 110.92 108.01 88.98°
Positions (direct):
Ca 0.311 0.315 0.623
Ca 0.689 0.685 0.377
Cd 0.878 0.101 0.742
Cd 0.702 0.200 0.406
Cd 0.865 0.644 0.744
Cd 0.298 0.800 0.594
Cd 0.122 0.899 0.258
Cd 0.253 0.507 0.000
Cd 0.747 0.493 0.000
Cd 0.135 0.356 0.256
Pm 0.500 0.000 0.000

Results
- Volume: 25.363 Å³/atom
- M_tot: 0.00 μB per cell
- Space group: P-1, No. 2
- E_form: -0.255 eV/atom

# 3
Here is a relaxed CaPm3Cd4 crystal from the Alexandria database. Energies are from GGA-PBE.

Cell: 5.394 7.735 10.789 Å, 90.00 90.00 90.00°
Last column: magnetic moment on the atom in μB.
Positions (direct):
Pm 0.501 0.500 0.750  0.00
Pm 0.499 0.000 0.250  0.10
Pm 0.499 0.500 0.250  0.00
Pm 0.501 0.000 0.750  0.10
Pm 0.000 0.000 0.500  0.11
Pm 0.000 0.000 0.000  0.11
Cd 0.999 0.749 0.250  0.00
Cd 0.500 0.251 0.500  0.00
Cd 0.999 0.251 0.250  0.00
Cd 0.001 0.749 0.750  0.00
Cd 0.500 0.749 0.500  0.00
Cd 0.001 0.251 0.750  0.00
Cd 0.500 0.251 0.000  0.00
Cd 0.500 0.749 0.000  0.00
Ca 0.000 0.500 0.000  0.00
Ca 0.000 0.500 0.500  0.00

Results
- Volume: 28.136 Å³/atom
- M_tot: 0.85 μB per cell
- Space group: P4/mmm, No. 123
- E_form: -0.338 eV/atom

# 4
Here is a relaxed Ca5PmCd4 crystal from the Alexandria database. Energies are from GGA-PBE.

Cell: 3.798 3.798 20.887 Å, 90.00 90.00 90.00°
Positions (direct):
Cd 0.000 0.000 0.219
Cd 0.000 0.000 0.408
Cd 0.000 0.000 0.781
Cd 0.000 0.000 0.592
Ca 0.500 0.500 0.500
Ca 0.500 0.500 0.128
Ca 0.500 0.500 0.686
Ca 0.500 0.500 0.314
Ca 0.500 0.500 0.872
Pm 0.000 0.000 0.000

Results
- Volume: 30.123 Å³/atom
- M_tot: 0.05 μB per cell
- Space group: P4/mmm, No. 123
- E_form: -0.245 eV/atom